Entry 1
## HfMoBr2 (PBE-GGA)

Data for HfMoBr2 after structural relaxation.

Cell: 9.3631 9.3631 9.3631 Å, 19.68 19.68 19.68°
Closest atoms and distances in Å follow each position.
Element x y z (fractional)
Mo (0.0000, 0.0000, 0.0000)  2 Br 2.55
Hf (0.5000, 0.5000, 0.5000)  6 Br 2.75
Br (0.9074, 0.9074, 0.9074)  1 Mo 2.55, 3 Hf 2.75
Br (0.0926, 0.0926, 0.0926)  1 Mo 2.55, 3 Hf 2.75

Values from the calculation:
The value obtained for the total magnetization is 0.00 μB per formula unit. Its crystal system is trigonal. For the density of states at the Fermi level, the calculation gives 0.87 states/eV per atom.

Entry 2
## HfMoBr2 (PBE-GGA)

Data for HfMoBr2 after structural relaxation.

Cell: 4.7529 4.7529 4.7529 Å, 60.00 60.00 60.00°
Closest atoms and distances in Å follow each position.
Element x y z (fractional)
Mo (0.0000, 0.0000, 0.0000)  8 Br 2.91
Hf (0.5000, 0.5000, 0.5000)  8 Br 2.91
Br (0.2500, 0.2500, 0.2500)  4 Hf 2.91, 4 Mo 2.91
Br (0.7500, 0.7500, 0.7500)  4 Hf 2.91, 4 Mo 2.91

Values from the calculation:
The value obtained for the total magnetization is 2.65 μB per formula unit. Its crystal system is cubic. For the density of states at the Fermi level, the calculation gives 1.02 states/eV per atom.

Entry 3
## HfMoBr2 (PBE-GGA)

Data for HfMoBr2 after structural relaxation.

Cell: 4.4118 4.4118 9.2479 Å, 76.20 76.20 90.00°
Closest atoms and distances in Å follow each position.
Element x y z (fractional)
Mo (0.5000, 0.5000, 0.0000)  4 Br 2.66
Mo (0.2500, 0.7500, 0.5000)  4 Br 2.66
Hf (0.0000, 0.0000, 0.0000)  4 Br 2.69
Hf (0.7500, 0.2500, 0.5000)  4 Br 2.69
Br (0.6164, 0.1250, 0.2500)  2 Mo 2.66, 2 Hf 2.69
Br (0.1336, 0.6250, 0.2500)  2 Mo 2.66, 2 Hf 2.69
Br (0.3750, 0.3836, 0.7500)  2 Mo 2.66, 2 Hf 2.69
Br (0.8750, 0.8664, 0.7500)  2 Mo 2.66, 2 Hf 2.69

Values from the calculation:
The value obtained for the total magnetization is 0.00 μB per formula unit. Its crystal system is tetragonal. For the density of states at the Fermi level, the calculation gives 0.30 states/eV per atom.

Energies in meV/atom, measured from the most stable structure: entry 1 0; entry 2 417; entry 3 130.

Entry 1
## HfMo3Br (PBE-GGA)

Data for HfMo3Br after structural relaxation.

Cell: 4.6066 4.6066 4.6066 Å, 90.00 90.00 90.00°
Closest atoms and distances in Å follow each position.
Element x y z (fractional)
Mo (0.0000, 0.5000, 0.0000)  2 Br 2.30
Mo (0.0000, 0.0000, 0.5000)  2 Br 2.30
Mo (0.5000, 0.0000, 0.0000)  2 Br 2.30
Hf (0.5000, 0.5000, 0.5000)  12 Mo 3.26
Br (0.0000, 0.0000, 0.0000)  6 Mo 2.30

Values from the calculation:
The value obtained for the total magnetization is 0.58 μB per formula unit. Its crystal system is cubic. For the density of states at the Fermi level, the calculation gives 1.41 states/eV per atom.

Entry 2
## HfMo3Br (PBE-GGA)

Data for HfMo3Br after structural relaxation.

Cell: 4.8912 4.8912 4.8912 Å, 90.00 90.00 90.00°
Closest atoms and distances in Å follow each position.
Element x y z (fractional)
Mo (0.0000, 0.5000, 0.0000)  2 Hf 2.45
Mo (0.0000, 0.0000, 0.5000)  2 Hf 2.45
Mo (0.5000, 0.0000, 0.0000)  2 Hf 2.45
Hf (0.0000, 0.0000, 0.0000)  6 Mo 2.45
Br (0.5000, 0.5000, 0.5000)  12 Mo 3.46

Values from the calculation:
The value obtained for the total magnetization is 0.00 μB per formula unit. Its crystal system is cubic. For the density of states at the Fermi level, the calculation gives 1.67 states/eV per atom.

Energies in meV/atom, measured from the most stable structure: entry 1 0; entry 2 988.

Entry 1
## HfMoSeBr2 (PBE-GGA)

Data for HfMoSeBr2 after structural relaxation.

Cell: 5.0706 5.0706 4.8825 Å, 90.00 90.00 90.00°
Closest atoms and distances in Å follow each position.
Element x y z (fractional)
Mo (0.0000, 0.0000, 0.0000)  2 Se 2.44, 4 Br 2.54
Hf (0.5000, 0.5000, 0.5000)  8 Br 3.52, 4 Se 3.59
Se (0.0000, 0.0000, 0.5000)  2 Mo 2.44
Br (0.0000, 0.5000, 0.0000)  2 Mo 2.54
Br (0.5000, 0.0000, 0.0000)  2 Mo 2.54

Values from the calculation:
The value obtained for the total magnetization is 0.00 μB per formula unit. Its crystal system is tetragonal. For the density of states at the Fermi level, the calculation gives 1.73 states/eV per atom.

Entry 2
## HfMoSeBr2 (PBE-GGA)

Data for HfMoSeBr2 after structural relaxation.

Cell: 5.2620 5.2620 5.1871 Å, 90.00 90.00 90.00°
Closest atoms and distances in Å follow each position.
Element x y z (fractional)
Mo (0.5000, 0.5000, 0.5000)  8 Br 3.69, 4 Se 3.72
Hf (0.0000, 0.0000, 0.0000)  2 Se 2.59, 4 Br 2.63
Se (0.0000, 0.0000, 0.5000)  2 Hf 2.59
Br (0.0000, 0.5000, 0.0000)  2 Hf 2.63
Br (0.5000, 0.0000, 0.0000)  2 Hf 2.63

Values from the calculation:
The value obtained for the total magnetization is 5.22 μB per formula unit. Its crystal system is tetragonal. For the density of states at the Fermi level, the calculation gives 0.46 states/eV per atom.

Energies in meV/atom, measured from the most stable structure: entry 1 449; entry 2 0.

Entry 1
## HfBr2N (PBE-GGA)

Data for HfBr2N after structural relaxation.

Cell: 10.1465 10.1465 7.4581 Å, 47.14 47.14 90.00°
Closest atoms and distances in Å follow each position.
Element x y z (fractional)
Hf (0.0000, 0.0000, 0.0000)  2 N 2.04
Hf (0.7500, 0.2500, 0.5000)  2 N 2.04
Br (0.9625, 0.1250, 0.2500)  2 Hf 2.74
Br (0.7875, 0.6250, 0.2500)  2 Hf 2.74
Br (0.3750, 0.0375, 0.7500)  2 Hf 2.74
Br (0.8750, 0.2125, 0.7500)  2 Hf 2.74
N (0.5000, 0.5000, 0.0000)  2 Hf 2.04
N (0.2500, 0.7500, 0.5000)  2 Hf 2.04

Values from the calculation:
The value obtained for the total magnetization is 1.00 μB per formula unit. Its crystal system is tetragonal. For the density of states at the Fermi level, the calculation gives 0.53 states/eV per atom.

Entry 2
## HfBr2N (PBE-GGA)

Data for HfBr2N after structural relaxation.

Cell: 11.1760 11.1760 11.1760 Å, 18.97 18.97 18.97°
Closest atoms and distances in Å follow each position.
Element x y z (fractional)
Hf (0.0000, 0.0000, 0.0000)  2 Br 2.46
Br (0.9253, 0.9253, 0.9253)  1 Hf 2.46
Br (0.0747, 0.0747, 0.0747)  1 Hf 2.46
N (0.5000, 0.5000, 0.5000)  6 N 3.68, 6 Br 3.70

Values from the calculation:
The value obtained for the total magnetization is 2.99 μB per formula unit. Its crystal system is trigonal. For the density of states at the Fermi level, the calculation gives 0.18 states/eV per atom.

Entry 3
## HfBr2N (PBE-GGA)

Data for HfBr2N after structural relaxation.

Cell: 4.6396 4.6396 4.6396 Å, 60.00 60.00 60.00°
Closest atoms and distances in Å follow each position.
Element x y z (fractional)
Hf (0.5000, 0.5000, 0.5000)  8 Br 2.84
Br (0.2500, 0.2500, 0.2500)  4 Hf 2.84, 4 N 2.84
Br (0.7500, 0.7500, 0.7500)  4 Hf 2.84, 4 N 2.84
N (0.0000, 0.0000, 0.0000)  8 Br 2.84

Values from the calculation:
The value obtained for the total magnetization is 1.00 μB per formula unit. Its crystal system is cubic. For the density of states at the Fermi level, the calculation gives 0.38 states/eV per atom.

Energies in meV/atom, measured from the most stable structure: entry 1 0; entry 2 1478; entry 3 1190.

Entry 1
## HfSBrN2 (PBE-GGA)

Data for HfSBrN2 after structural relaxation.

Cell: 3.9438 3.9438 4.6399 Å, 90.00 90.00 90.00°
Closest atoms and distances in Å follow each position.
Element x y z (fractional)
S (0.0000, 0.0000, 0.5000)  2 Br 2.32
Hf (0.5000, 0.5000, 0.5000)  4 S 2.79, 8 N 3.04
Br (0.0000, 0.0000, 0.0000)  4 N 1.97
N (0.0000, 0.5000, 0.0000)  2 Br 1.97
N (0.5000, 0.0000, 0.0000)  2 Br 1.97

Values from the calculation:
The value obtained for the total magnetization is 0.00 μB per formula unit. Its crystal system is tetragonal. For the density of states at the Fermi level, the calculation gives 0.46 states/eV per atom.

Entry 2
## HfSBrN2 (PBE-GGA)

Data for HfSBrN2 after structural relaxation.

Cell: 4.0705 4.0705 5.6433 Å, 90.00 90.00 90.00°
Closest atoms and distances in Å follow each position.
Element x y z (fractional)
S (0.0000, 0.0000, 0.5000)  2 Hf 2.82, 4 Br 2.88
Hf (0.0000, 0.0000, 0.0000)  4 N 2.04
Br (0.5000, 0.5000, 0.5000)  4 S 2.88
N (0.0000, 0.5000, 0.0000)  2 Hf 2.04
N (0.5000, 0.0000, 0.0000)  2 Hf 2.04

Values from the calculation:
The value obtained for the total magnetization is 0.05 μB per formula unit. Its crystal system is tetragonal. For the density of states at the Fermi level, the calculation gives 0.65 states/eV per atom.

Energies in meV/atom, measured from the most stable structure: entry 1 977; entry 2 0.

Entry 1
## HfTe2BrN (PBE-GGA)

Data for HfTe2BrN after structural relaxation.

Cell: 5.6600 5.6600 3.6799 Å, 90.00 90.00 90.00°
Closest atoms and distances in Å follow each position.
Element x y z (fractional)
Te (0.0000, 0.5000, 0.0000)  2 Br 2.83
Te (0.5000, 0.0000, 0.0000)  2 Br 2.83
Hf (0.5000, 0.5000, 0.5000)  8 Te 3.38, 2 Hf 3.68
Br (0.0000, 0.0000, 0.0000)  2 N 1.84
N (0.0000, 0.0000, 0.5000)  2 Br 1.84

Values from the calculation:
The value obtained for the total magnetization is 0.00 μB per formula unit. Its crystal system is tetragonal. For the density of states at the Fermi level, the calculation gives 0.85 states/eV per atom.

Entry 2
## HfTe2BrN (PBE-GGA)

Data for HfTe2BrN after structural relaxation.

Cell: 5.7533 5.7533 4.0280 Å, 90.00 90.00 90.00°
Closest atoms and distances in Å follow each position.
Element x y z (fractional)
Te (0.0000, 0.5000, 0.0000)  2 Hf 2.88
Te (0.5000, 0.0000, 0.0000)  2 Hf 2.88
Hf (0.0000, 0.0000, 0.0000)  2 N 2.01
Br (0.5000, 0.5000, 0.5000)  8 Te 3.51
N (0.0000, 0.0000, 0.5000)  2 Hf 2.01

Values from the calculation:
The value obtained for the total magnetization is 0.00 μB per formula unit. Its crystal system is tetragonal. For the density of states at the Fermi level, the calculation gives 1.14 states/eV per atom.

Energies in meV/atom, measured from the most stable structure: entry 1 1175; entry 2 0.

Entry 1
## Na2HfBr (PBE-GGA)

Data for Na2HfBr after structural relaxation.

Cell: 8.9252 8.9252 6.9036 Å, 49.73 49.73 90.00°
Closest atoms and distances in Å follow each position.
Element x y z (fractional)
Na (0.5742, 0.1250, 0.2500)  2 Br 2.94, 2 Na 2.94
Na (0.1758, 0.6250, 0.2500)  2 Br 2.94, 2 Na 2.94
Na (0.3750, 0.4258, 0.7500)  2 Br 2.94, 2 Na 2.94
Na (0.8750, 0.8242, 0.7500)  2 Br 2.94, 2 Na 2.94
Hf (0.0000, 0.0000, 0.0000)  2 Br 2.80
Hf (0.7500, 0.2500, 0.5000)  2 Br 2.80
Br (0.5000, 0.5000, 0.0000)  2 Hf 2.80, 4 Na 2.94
Br (0.2500, 0.7500, 0.5000)  2 Hf 2.80, 4 Na 2.94

Values from the calculation:
The value obtained for the total magnetization is 1.00 μB per formula unit. Its crystal system is tetragonal. For the density of states at the Fermi level, the calculation gives 0.79 states/eV per atom.

Entry 2
## Na2HfBr (PBE-GGA)

Data for Na2HfBr after structural relaxation.

Cell: 5.6019 5.6019 5.6019 Å, 60.00 60.00 60.00°
Closest atoms and distances in Å follow each position.
Element x y z (fractional)
Na (0.2500, 0.2500, 0.2500)  4 Hf 3.43, 4 Br 3.43
Na (0.7500, 0.7500, 0.7500)  4 Hf 3.43, 4 Br 3.43
Hf (0.5000, 0.5000, 0.5000)  8 Na 3.43
Br (0.0000, 0.0000, 0.0000)  8 Na 3.43

Values from the calculation:
The value obtained for the total magnetization is 2.99 μB per formula unit. Its crystal system is cubic. For the density of states at the Fermi level, the calculation gives 1.32 states/eV per atom.

Energies in meV/atom, measured from the most stable structure: entry 1 0; entry 2 284.